## P
Below is a relaxed structure of ZnI2BrO, with properties calculated at the GGA-PBE level.

M_tot: 0.00 μB per formula unit

Lattice parameters (Å, degrees): 5.913 5.913 4.016 90.00 90.00 90.00
Space group P4/mmm (No. 123)
Inequivalent atoms, fractional coordinates:
Zn1 0.000 0.000 0.000
I1 0.000 0.500 0.500
Br1 0.500 0.500 0.500
O1 0.500 0.500 0.000


## Q
Below is a relaxed structure of ZnI2BrO, with properties calculated at the GGA-PBE level.

M_tot: 1.24 μB per formula unit

Lattice parameters (Å, degrees): 6.869 6.869 3.405 90.00 90.00 90.00
Space group P4/mmm (No. 123)
Inequivalent atoms, fractional coordinates:
Zn1 0.000 0.000 0.000
I1 0.000 0.500 0.000
Br1 0.500 0.500 0.500
O1 0.000 0.000 0.500


Stability summary: most stable Q, least stable P.


## P
Below is a relaxed structure of Os2IBr, with properties calculated at the GGA-PBE level.

M_tot: 0.00 μB per formula unit

Lattice parameters (Å, degrees): 4.682 4.682 16.209 90.00 90.00 90.00
Space group I-42d (No. 122)
Inequivalent atoms, fractional coordinates:
Os1 0.137 0.250 0.125
I1 0.000 0.000 0.500
Br1 0.000 0.000 0.000


## Q
Below is a relaxed structure of Os2IBr, with properties calculated at the GGA-PBE level.

M_tot: 0.00 μB per formula unit

Lattice parameters (Å, degrees): 6.597 6.597 6.597 90.00 90.00 90.00
Space group Fm-3m (No. 225)
Inequivalent atoms, fractional coordinates:
Os1 0.250 0.250 0.250
I1 0.000 0.000 0.000
Br1 0.000 0.000 0.500


Stability summary: most stable P, least stable Q.